Record 1
Computed, not measured: Pm9NdAl2 after structural relaxation at the PBE level of DFT.

Summary:
Energy of formation from the pure elements   -0.095 eV/atom

Unit cell a=4.927 b=4.927 c=15.198 alpha=90.00 beta=90.00 gamma=90.00
Fractional coordinates of all 12 atoms:
Pm (0.000, 0.000, 0.000)
Pm (0.000, 0.000, 0.342)
Pm (0.000, 0.000, 0.658)
Pm (0.000, 0.500, 0.180)
Pm (0.000, 0.500, 0.500)
Pm (0.000, 0.500, 0.820)
Pm (0.500, 0.000, 0.180)
Pm (0.500, 0.000, 0.500)
Pm (0.500, 0.000, 0.820)
Nd (0.500, 0.500, 0.000)
Al (0.500, 0.500, 0.340)
Al (0.500, 0.500, 0.660)

=====

Record 2
Computed, not measured: K8HgAu2O after structural relaxation at the PBE level of DFT.

Summary:
ΔE_f (raw)   -37.7 kJ per mole of atoms

Unit cell a=7.284 b=7.907 c=8.865 alpha=90.31 beta=101.65 gamma=94.71
Fractional coordinates of all 12 atoms:
K (0.153, 0.231, 0.415)
K (0.211, 0.705, 0.347)
K (0.274, 0.096, 0.975)
K (0.288, 0.568, 0.735)
K (0.712, 0.432, 0.265)
K (0.726, 0.904, 0.025)
K (0.789, 0.295, 0.653)
K (0.847, 0.769, 0.585)
Hg (0.000, 0.500, 0.000)
Au (0.447, 0.971, 0.648)
Au (0.553, 0.029, 0.352)
O (0.000, 0.500, 0.500)

=====

Record 3
Computed, not measured: DyPu2TaN4 after structural relaxation at the PBE level of DFT.

Summary:
ΔE_f (raw)   -128.6 kJ per mole of atoms

Unit cell a=5.839 b=3.354 c=5.843 alpha=90.00 beta=109.24 gamma=90.00
Fractional coordinates of all 8 atoms:
Dy (0.000, 0.000, 0.000)
Pu (0.000, 0.500, 0.500)
Pu (0.500, 0.000, 0.500)
Ta (0.500, 0.500, 0.000)
N (0.272, 0.500, 0.235)
N (0.276, 0.000, 0.775)
N (0.724, 0.000, 0.225)
N (0.728, 0.500, 0.765)

=====

Record 4
Computed, not measured: V2SeS2 after structural relaxation at the PBE level of DFT.

Summary:
ΔE_f (raw)   -59.8 kJ per mole of atoms

Unit cell a=6.867 b=6.867 c=6.867 alpha=121.56 beta=121.56 gamma=87.32
Fractional coordinates of all 10 atoms:
V (0.228, 0.000, 0.228)
V (0.750, 0.022, 0.272)
V (0.750, 0.478, 0.728)
V (0.772, 0.000, 0.772)
Se (0.345, 0.845, 0.500)
Se (0.595, 0.595, 0.000)
S (0.476, 0.232, 0.244)
S (0.982, 0.239, 0.256)
S (0.982, 0.726, 0.744)
S (0.989, 0.232, 0.756)

=====

Record 5
Computed, not measured: Hf2AlBiAu after structural relaxation at the PBE level of DFT.

Summary:
Energy of formation from the pure elements   0.425 eV/atom

Unit cell a=5.111 b=5.111 c=4.648 alpha=90.00 beta=90.00 gamma=90.00
Fractional coordinates of all 5 atoms:
Hf (0.000, 0.500, 0.000)
Hf (0.500, 0.000, 0.000)
Al (0.000, 0.000, 0.000)
Bi (0.500, 0.500, 0.500)
Au (0.000, 0.000, 0.500)

=====

Record 6
Computed, not measured: InCu2Tc after structural relaxation at the PBE level of DFT.

Summary:
Energy of formation from the pure elements   0.253 eV/atom

Unit cell a=5.218 b=5.218 c=4.774 alpha=115.76 beta=115.76 gamma=30.93
Fractional coordinates of all 4 atoms:
In (0.000, 0.000, 0.000)
Cu (0.486, 0.486, 0.500)
Cu (0.755, 0.755, 0.120)
Tc (0.234, 0.234, 0.602)

=====

Record 7
Computed, not measured: Pm3Ho4Te8 after structural relaxation at the PBE level of DFT.

Summary:
ΔE_f (raw)   -133.3 kJ per mole of atoms

Unit cell a=8.766 b=8.766 c=8.760 alpha=119.94 beta=119.94 gamma=90.03
Fractional coordinates of all 15 atoms:
Pm (0.000, 0.000, 0.000)
Pm (0.000, 0.500, 0.000)
Pm (0.500, 0.000, 0.000)
Ho (0.000, 0.500, 0.500)
Ho (0.500, 0.000, 0.500)
Ho (0.500, 0.500, 0.000)
Ho (0.500, 0.500, 0.500)
Te (0.247, 0.753, 0.500)
Te (0.250, 0.250, 0.507)
Te (0.251, 0.251, 0.995)
Te (0.253, 0.747, 0.000)
Te (0.747, 0.253, 0.000)
Te (0.749, 0.749, 0.005)
Te (0.750, 0.750, 0.493)
Te (0.753, 0.247, 0.500)

=====

Record 8
Computed, not measured: CaCdCu after structural relaxation at the PBE level of DFT.

Summary:
Energy of formation from the pure elements   -0.171 eV/atom

Unit cell a=4.634 b=4.634 c=3.792 alpha=90.00 beta=90.00 gamma=120.00
Fractional coordinates of all 3 atoms:
Ca (0.000, 0.000, 0.000)
Cd (0.667, 0.333, 0.500)
Cu (0.333, 0.667, 0.500)

=====

Record 9
Computed, not measured: KSbW2 after structural relaxation at the PBE level of DFT.

Summary:
ΔE_f (raw)   148.9 kJ per mole of atoms

Unit cell a=3.534 b=4.639 c=4.968 alpha=90.00 beta=90.00 gamma=90.00
Fractional coordinates of all 4 atoms:
K (0.000, 0.000, 0.000)
Sb (0.500, 0.500, 0.000)
W (0.000, 0.500, 0.500)
W (0.500, 0.000, 0.500)

=====

Record 10
Computed, not measured: KScHg after structural relaxation at the PBE level of DFT.

Summary:
Energy of formation from the pure elements   0.392 eV/atom

Unit cell a=5.273 b=5.273 c=5.273 alpha=60.00 beta=60.00 gamma=60.00
Fractional coordinates of all 3 atoms:
K (0.000, 0.000, 0.000)
Sc (0.500, 0.500, 0.500)
Hg (0.250, 0.250, 0.250)

=====

Record 11
Computed, not measured: Sr3ScMo after structural relaxation at the PBE level of DFT.

Summary:
Energy of formation from the pure elements   1.028 eV/atom

Unit cell a=5.881 b=5.881 c=5.881 alpha=90.00 beta=90.00 gamma=90.00
Fractional coordinates of all 5 atoms:
Sr (0.000, 0.000, 0.500)
Sr (0.000, 0.500, 0.000)
Sr (0.500, 0.000, 0.000)
Sc (0.500, 0.500, 0.500)
Mo (0.000, 0.000, 0.000)

=====

Record 12
Computed, not measured: La6Tm2Sc after structural relaxation at the PBE level of DFT.

Summary:
Energy of formation from the pure elements   0.045 eV/atom

Unit cell a=6.224 b=6.224 c=10.898 alpha=105.48 beta=105.48 gamma=49.01
Fractional coordinates of all 9 atoms:
La (0.004, 0.004, 0.176)
La (0.332, 0.332, 0.607)
La (0.335, 0.335, 0.948)
La (0.665, 0.665, 0.052)
La (0.668, 0.668, 0.393)
La (0.996, 0.996, 0.824)
Tm (0.338, 0.338, 0.284)
Tm (0.662, 0.662, 0.716)
Sc (0.000, 0.000, 0.500)

=====

Record 13
Computed, not measured: NaAlCdIn after structural relaxation at the PBE level of DFT.

Summary:
Energy of formation from the pure elements   0.044 eV/atom

Unit cell a=5.061 b=5.061 c=5.061 alpha=60.00 beta=60.00 gamma=60.00
Fractional coordinates of all 4 atoms:
Na (0.000, 0.000, 0.000)
Al (0.500, 0.500, 0.500)
Cd (0.750, 0.750, 0.750)
In (0.250, 0.250, 0.250)

=====

Record 14
Computed, not measured: Cr2AsRu after structural relaxation at the PBE level of DFT.

Summary:
Energy of formation from the pure elements   0.023 eV/atom

Unit cell a=3.076 b=4.095 c=4.267 alpha=90.00 beta=90.00 gamma=90.00
Fractional coordinates of all 4 atoms:
Cr (0.000, 0.000, 0.000)
Cr (0.500, 0.500, 0.000)
As (0.000, 0.500, 0.500)
Ru (0.500, 0.000, 0.500)

=====

Record 15
Computed, not measured: Ho5Co19P12 after structural relaxation at the PBE level of DFT.

Summary:
Energy of formation from the pure elements   -0.895 eV/atom

Unit cell a=11.968 b=11.968 c=3.665 alpha=90.00 beta=90.00 gamma=120.00
Fractional coordinates of all 36 atoms:
Ho (0.000, 0.187, 0.000)
Ho (0.187, 0.000, 0.000)
Ho (0.333, 0.667, 0.500)
Ho (0.667, 0.333, 0.500)
Ho (0.813, 0.813, 0.000)
Co (0.000, 0.000, 0.500)
Co (0.000, 0.553, 0.500)
Co (0.000, 0.715, 0.000)
Co (0.125, 0.484, 0.000)
Co (0.178, 0.801, 0.500)
Co (0.199, 0.378, 0.500)
Co (0.285, 0.285, 0.000)
Co (0.359, 0.875, 0.000)
Co (0.378, 0.199, 0.500)
Co (0.447, 0.447, 0.500)
Co (0.484, 0.125, 0.000)
Co (0.516, 0.641, 0.000)
Co (0.553, 0.000, 0.500)
Co (0.622, 0.822, 0.500)
Co (0.641, 0.516, 0.000)
Co (0.715, 0.000, 0.000)
Co (0.801, 0.178, 0.500)
Co (0.822, 0.622, 0.500)
Co (0.875, 0.359, 0.000)
P (0.000, 0.368, 0.500)
P (0.000, 0.819, 0.500)
P (0.166, 0.686, 0.000)
P (0.181, 0.181, 0.500)
P (0.314, 0.480, 0.000)
P (0.368, 0.000, 0.500)
P (0.480, 0.314, 0.000)
P (0.520, 0.834, 0.000)
P (0.632, 0.632, 0.500)
P (0.686, 0.166, 0.000)
P (0.819, 0.000, 0.500)
P (0.834, 0.520, 0.000)

=====

Record 16
Computed, not measured: TbInHg6 after structural relaxation at the PBE level of DFT.

Summary:
Energy of formation from the pure elements   0.080 eV/atom

Unit cell a=8.611 b=8.611 c=8.611 alpha=43.00 beta=43.00 gamma=43.00
Fractional coordinates of all 8 atoms:
Tb (0.000, 0.000, 0.000)
In (0.500, 0.500, 0.500)
Hg (0.071, 0.071, 0.553)
Hg (0.071, 0.553, 0.071)
Hg (0.447, 0.929, 0.929)
Hg (0.553, 0.071, 0.071)
Hg (0.929, 0.447, 0.929)
Hg (0.929, 0.929, 0.447)

=====

Record 17
Computed, not measured: KNa2Tl3I6 after structural relaxation at the PBE level of DFT.

Summary:
ΔE_f (raw)   -95.3 kJ per mole of atoms

Unit cell a=10.956 b=10.956 c=9.872 alpha=103.60 beta=103.60 gamma=25.72
Fractional coordinates of all 12 atoms:
K (0.000, 0.000, 0.000)
Na (0.330, 0.330, 0.664)
Na (0.670, 0.670, 0.336)
Tl (0.000, 0.000, 0.500)
Tl (0.335, 0.335, 0.171)
Tl (0.665, 0.665, 0.829)
I (0.170, 0.170, 0.102)
I (0.173, 0.173, 0.570)
I (0.488, 0.488, 0.745)
I (0.512, 0.512, 0.255)
I (0.827, 0.827, 0.430)
I (0.830, 0.830, 0.898)

=====

Record 18
Computed, not measured: CuReW2 after structural relaxation at the PBE level of DFT.

Summary:
Energy of formation from the pure elements   0.368 eV/atom

Unit cell a=4.403 b=4.403 c=4.403 alpha=60.00 beta=60.00 gamma=60.00
Fractional coordinates of all 4 atoms:
Cu (0.000, 0.000, 0.000)
Re (0.500, 0.500, 0.500)
W (0.250, 0.250, 0.250)
W (0.750, 0.750, 0.750)

=====

Record 19
Computed, not measured: AcZn2GaAu5 after structural relaxation at the PBE level of DFT.

Summary:
Energy of formation from the pure elements   -0.287 eV/atom

Unit cell a=5.048 b=5.048 c=7.570 alpha=90.00 beta=90.00 gamma=90.00
Fractional coordinates of all 9 atoms:
Ac (0.000, 0.000, 0.000)
Zn (0.500, 0.500, 0.339)
Zn (0.500, 0.500, 0.661)
Ga (0.000, 0.000, 0.500)
Au (0.000, 0.500, 0.287)
Au (0.000, 0.500, 0.713)
Au (0.500, 0.000, 0.287)
Au (0.500, 0.000, 0.713)
Au (0.500, 0.500, 0.000)

=====

Record 20
Computed, not measured: DyMg2Pd after structural relaxation at the PBE level of DFT.

Summary:
Energy of formation from the pure elements   -0.383 eV/atom

Unit cell a=4.929 b=4.929 c=4.929 alpha=59.89 beta=59.89 gamma=59.89
Fractional coordinates of all 4 atoms:
Dy (0.000, 0.000, 0.000)
Mg (0.500, 0.500, 0.500)
Mg (0.750, 0.750, 0.750)
Pd (0.250, 0.250, 0.250)

=====

Number 1: density 6.767 Mg/m³, calculated total energy -4.68 eV/atom. Number 2: density 3.077 Mg/m³, calculated total energy -2.11 eV/atom. Number 3: density 13.642 Mg/m³, calculated total energy -11.13 eV/atom. Number 4: density 3.644 Mg/m³, calculated total energy -6.62 eV/atom. Number 5: density 10.801 Mg/m³, calculated total energy -5.74 eV/atom. Number 6: density 9.466 Mg/m³, calculated total energy -5.07 eV/atom. Number 7: density 7.370 Mg/m³, calculated total energy -5.23 eV/atom. Number 8: density 5.086 Mg/m³, calculated total energy -2.51 eV/atom. Number 9: density 10.775 Mg/m³, calculated total energy -6.24 eV/atom. Number 10: density 4.559 Mg/m³, calculated total energy -2.18 eV/atom. Number 11: density 3.297 Mg/m³, calculated total energy -3.41 eV/atom. Number 12: density 6.630 Mg/m³, calculated total energy -4.94 eV/atom. Number 13: density 5.021 Mg/m³, calculated total energy -2.13 eV/atom. Number 14: density 8.652 Mg/m³, calculated total energy -8.27 eV/atom. Number 15: density 8.460 Mg/m³, calculated total energy -7.08 eV/atom. Number 16: density 9.112 Mg/m³, calculated total energy -1.07 eV/atom. Number 17: density 4.856 Mg/m³, calculated total energy -2.67 eV/atom. Number 18: density 16.982 Mg/m³, calculated total energy -10.25 eV/atom. Number 19: density 12.158 Mg/m³, calculated total energy -3.18 eV/atom. Number 20: density 6.242 Mg/m³, calculated total energy -3.63 eV/atom.